Density functional theory data (PBEsol) for crystalline Ba2HfReSb at its relaxed geometry.

Cell lengths 5.317, 6.065, 6.065 Å; angles 90.00, 90.00, 90.00 degrees
Each line ends with the local moment (μB).
Fractional coordinates of all 5 atoms:
1 Re 0.500 0.500 0.500  -3.37
2 Hf 0.000 0.000 0.000  0.00
3 Ba 0.000 0.000 0.500  0.03
4 Ba 0.000 0.500 0.000  0.03
5 Sb 0.500 0.000 0.000  -0.02

Results
- ΔE_f (raw): 1.585 eV per atom
- V: 39.12 Å³ per atom
- Size of the total moment: 3.983 μB/cell
- Total energy: -24.764 eV/cell



Density functional theory data (PBEsol) for crystalline ZnReCl2 at its relaxed geometry.

Cell lengths 3.814, 4.049, 4.049 Å; angles 90.00, 90.00, 90.00 degrees
Each line ends with the local moment (μB).
Fractional coordinates of all 4 atoms:
1 Re 0.500 0.500 0.500  0.38
2 Zn 0.500 0.000 0.000  -0.01
3 Cl 0.000 0.000 0.500  0.00
4 Cl 0.000 0.500 0.000  0.00

Results
- ΔE_f (raw): 1.054 eV per atom
- V: 15.63 Å³ per atom
- Size of the total moment: 0.428 μB/cell
- Total energy: -14.713 eV/cell



Density functional theory data (PBEsol) for crystalline GeH2Se at its relaxed geometry.

Cell lengths 3.577, 3.582, 7.518 Å; angles 96.00, 90.00, 119.96 degrees
Fractional coordinates of all 4 atoms:
1 H 0.560 0.121 0.999
2 H 0.641 0.283 0.084
3 Ge 0.281 0.561 0.635
4 Se 0.919 0.838 0.441

Results
- V: 20.71 Å³ per atom
- Size of the total moment: 0.000 μB/cell
- Total energy: -15.543 eV/cell



Density functional theory data (PBEsol) for crystalline MnReRh2 at its relaxed geometry.

Cell lengths 2.656, 2.656, 8.710 Å; angles 81.23, 81.23, 60.00 degrees
Fractional coordinates of all 4 atoms:
1 Mn 0.499 0.499 0.502
2 Re 0.247 0.247 0.260
3 Rh 0.999 0.999 0.002
4 Rh 0.754 0.754 0.737

Results
- V: 13.09 Å³ per atom
- Size of the total moment: 0.001 μB/cell
- Total energy: -39.256 eV/cell
- Formation energy from the elements: 0.028 eV/atom



Density functional theory data (PBEsol) for crystalline SrTl2Ru at its relaxed geometry.

Cell lengths 4.483, 4.634, 4.475 Å; angles 90.00, 90.00, 90.00 degrees
Each line ends with the local moment (μB).
Fractional coordinates of all 4 atoms:
1 Ru 0.500 0.500 0.000  0.75
2 Sr 0.000 0.500 0.500  -0.02
3 Tl 0.000 0.000 0.000  0.00
4 Tl 0.500 0.000 0.500  0.00

Results
- V: 23.24 Å³ per atom
- Size of the total moment: 0.736 μB/cell
- Total energy: -15.708 eV/cell
- Formation energy from the elements: 0.391 eV/atom



Density functional theory data (PBEsol) for crystalline HgHIr2I at its relaxed geometry.

Cell lengths 3.401, 4.985, 4.985 Å; angles 90.00, 90.00, 90.00 degrees
Fractional coordinates of all 5 atoms:
1 I 0.000 0.000 0.000
2 H 0.500 0.000 0.000
3 Ir 0.000 0.000 0.500
4 Ir 0.000 0.500 0.000
5 Hg 0.500 0.500 0.500

Results
- V: 16.90 Å³ per atom
- Size of the total moment: 0.000 μB/cell
- Total energy: -19.166 eV/cell



Density functional theory data (PBEsol) for crystalline ClF at its relaxed geometry.

Cell lengths 3.513, 6.655, 6.778 Å; angles 105.09, 90.00, 90.00 degrees
Fractional coordinates of all 8 atoms:
1 Cl 0.014 0.854 0.212
2 Cl 0.514 0.146 0.288
3 Cl 0.986 0.146 0.788
4 Cl 0.486 0.854 0.712
5 F 0.293 0.641 0.157
6 F 0.793 0.359 0.343
7 F 0.707 0.359 0.843
8 F 0.207 0.641 0.657

Results
- ΔE_f (raw): -0.397 eV per atom
- V: 19.12 Å³ per atom
- Size of the total moment: 0.000 μB/cell
- Total energy: -18.916 eV/cell



Density functional theory data (PBEsol) for crystalline ScAl2Ru2 at its relaxed geometry.

Cell lengths 3.051, 7.035, 7.035 Å; angles 90.00, 90.00, 90.00 degrees
Fractional coordinates of all 10 atoms:
1 Sc 0.000 0.000 0.000
2 Sc 0.000 0.500 0.500
3 Ru 0.000 0.347 0.847
4 Ru 0.000 0.847 0.653
5 Ru 0.000 0.653 0.153
6 Ru 0.000 0.153 0.347
7 Al 0.500 0.142 0.642
8 Al 0.500 0.642 0.858
9 Al 0.500 0.858 0.358
10 Al 0.500 0.358 0.142

Results
- V: 15.10 Å³ per atom
- Size of the total moment: 0.000 μB/cell
- Total energy: -75.749 eV/cell
- Formation energy from the elements: -0.548 eV/atom



Q: What is the formula in the seventh record?
A: ClF